1.
Density functional theory data (PBE) for a relaxed structure of LiLaHf2Mg.

The structure in extended XYZ format:
```
5
Lattice="5.271 0.000 0.000 0.000 5.271 0.000 0.000 0.000 4.808" Properties=species:S:1:pos:R:3 pbc="T T T"
Li 0.000 0.000 0.000
La 2.635 2.635 0.000
Hf 0.000 2.635 2.404
Hf 2.635 0.000 2.404
Mg 0.000 0.000 2.404
```

Values from the calculation:
Magnetic moment ... 0.000 μB per atom
Symmetry ... P4/mmm, No. 123
E_tot ... -4.80 eV per atom
N(E_F) ... 2.034 states/eV per atom

***

2.
Density functional theory data (PBE) for a relaxed structure of K2LaSb.

The structure in extended XYZ format:
```
4
Lattice="10.558 -2.161 0.000 10.558 2.161 0.000 -1.057 0.000 4.615" Properties=species:S:1:pos:R:3 pbc="T T T"
K 3.266 0.000 0.747
K 16.793 0.000 3.868
La -0.528 0.000 2.308
Sb 10.558 0.000 0.000
```

Values from the calculation:
Uncorrected formation energy ... -0.3995 eV per atom
Magnetic moment ... 0.119 μB per atom
Symmetry ... C2/m, No. 12
E_tot ... -3.21 eV per atom
N(E_F) ... 0.638 states/eV per atom

***

3.
Density functional theory data (PBE) for a relaxed structure of Cu2Te.

The structure in extended XYZ format:
```
3
Lattice="3.991 0.000 0.000 -1.995 3.456 0.000 0.000 0.000 3.922" Properties=species:S:1:pos:R:3 pbc="T T T"
Cu 0.000 2.304 0.501
Cu 1.995 1.152 3.421
Te 0.000 0.000 1.961
```

Values from the calculation:
Uncorrected formation energy ... 0.2204 eV per atom
Magnetic moment ... 0.000 μB per atom
Symmetry ... P-3m1, No. 164
E_tot ... -3.56 eV per atom
N(E_F) ... 0.351 states/eV per atom

***

4.
Density functional theory data (PBE) for a relaxed structure of EuInPb2.

The structure in extended XYZ format:
```
4
Lattice="4.114 0.000 0.000 0.000 4.114 0.000 0.000 0.000 7.185" Properties=species:S:1:pos:R:3 pbc="T T T"
Eu 0.000 0.000 0.000
In 0.000 0.000 3.593
Pb 2.057 2.057 1.968
Pb 2.057 2.057 5.217
```

Values from the calculation:
Magnetic moment ... 1.798 μB per atom
Symmetry ... P4/mmm, No. 123
E_tot ... -5.36 eV per atom
N(E_F) ... 1.795 states/eV per atom

***

5.
Density functional theory data (PBE) for a relaxed structure of Cs3TlCu2Br6.

The structure in extended XYZ format:
```
12
Lattice="8.329 0.000 0.000 -4.164 7.213 0.000 0.000 0.000 9.600" Properties=species:S:1:pos:R:3 pbc="T T T"
Cs 0.000 0.000 0.000
Cs 0.000 4.809 6.260
Cs 4.164 2.404 3.340
Tl 0.000 0.000 4.800
Cu 0.000 4.809 2.561
Cu 4.164 2.404 7.038
Br 0.000 2.457 2.673
Br -2.037 5.985 2.673
Br 2.128 1.228 6.927
Br 2.037 5.985 2.673
Br 6.201 1.228 6.927
Br 4.164 4.756 6.927
```

Values from the calculation:
Uncorrected formation energy ... -1.0877 eV per atom
Magnetic moment ... 0.010 μB per atom
Symmetry ... P-3m1, No. 164
E_tot ... -3.02 eV per atom
N(E_F) ... 0.000 states/eV per atom